[1]
Compound: Y3HfAs4
Source: Alexandria
Functional: PBE
Structure: optimized geometry

- DOS(E_F) (states/eV per atom) = 0.180
- spin magnetization (μB/f.u.) = 0.0
- DFT total energy (eV/atom) = -7.4050

Unit cell a=4.0353 b=6.9950 c=6.9950 alpha=109.27 beta=90.00 gamma=90.00
Positions (direct):
Y 0.0000 0.0000 0.5000
Y 0.5000 0.5000 0.5000
Y 0.0000 0.5000 0.0000
As 0.0000 0.2370 0.2370
As 0.5000 0.7571 0.2429
As 0.0000 0.7630 0.7630
As 0.5000 0.2429 0.7571
Hf 0.5000 0.0000 0.0000

***

[2]
Compound: Y2HfZrAs4
Source: Alexandria
Functional: PBE
Structure: optimized geometry

- DOS(E_F) (states/eV per atom) = 0.516
- spin magnetization (μB/f.u.) = 0.0
- DFT total energy (eV/atom) = -7.5471

Unit cell a=3.9596 b=6.8669 c=6.9362 alpha=109.32 beta=90.00 gamma=90.00
Positions (direct):
Y 0.5000 0.0000 0.5000
Y 0.0000 0.5000 0.5000
Hf 0.5000 0.5000 0.0000
Zr 0.0000 0.0000 0.0000
As 0.5000 0.2473 0.2353
As 0.5000 0.7527 0.7647
As 0.0000 0.2577 0.7664
As 0.0000 0.7423 0.2336

***

[3]
Compound: HfZn3As
Source: Alexandria
Functional: PBE
Structure: optimized geometry

- energy relative to the lowest polymorph listed for this composition (kJ per mole of atoms) = 0.00
- DOS(E_F) (states/eV per atom) = 0.856
- spin magnetization (μB/f.u.) = 0.0
- DFT total energy (eV/atom) = -2.9939

Unit cell a=4.7280 b=4.7280 c=4.7280 alpha=90.00 beta=90.00 gamma=90.00
Positions (direct):
As 0.0000 0.0000 0.0000
Hf 0.5000 0.5000 0.5000
Zn 0.0000 0.5000 0.0000
Zn 0.0000 0.0000 0.5000
Zn 0.5000 0.0000 0.0000

***

[4]
Compound: Hf2ZnAs2
Source: Alexandria
Functional: PBE
Structure: optimized geometry

- DOS(E_F) (states/eV per atom) = 0.319
- spin magnetization (μB/f.u.) = 0.0
- DFT total energy (eV/atom) = -6.3337

Unit cell a=3.6803 b=3.6803 c=7.6905 alpha=76.16 beta=76.16 gamma=90.00
Positions (direct):
As 0.7500 0.2500 0.5000
As 0.2500 0.7500 0.5000
Hf 0.3937 0.3937 0.2126
Hf 0.6063 0.6063 0.7874
Zn 0.0000 0.0000 0.0000